Compound: ReOsRu
Source: Alexandria via LeMat-Bulk
Functional: PBE
Structure: relaxed

Computed properties:
Magnetization = 0.00 μB per formula unit
E = -10.9085 eV/atom
DOS(E_F) = 6.4 states/eV per cell
Symmetry = I4mm, No. 107
ΔE to the lowest computed polymorph = 11 meV per atom

Cell: 2.734 2.734 11.579 Å, 90.00 90.00 90.00°
Positions (direct):
Re (0.000, 0.000, 0.000)
Re (0.500, 0.500, 0.500)
Os (0.000, 0.000, 0.334)
Os (0.500, 0.500, 0.834)
Ru (0.000, 0.000, 0.667)
Ru (0.500, 0.500, 0.167)